DFT (GGA-PBE) results for an optimized crystal structure of LaBe2Mo.

Cell lengths 3.448, 3.520, 5.918 Å; angles 90.00, 106.77, 90.00 degrees
Space group Pm (No. 6)
Inequivalent atoms, fractional coordinates:
La  0.000  0.000  0.000 [1 per cell]
Be  0.256  0.000  0.508 [1 per cell]
Be  0.353  0.500  0.703 [1 per cell]
Mo  0.717  0.500  0.429 [1 per cell]

Calculated values
The formation energy is 0.26 eV per atom. The calculation puts the polymorph energy (0 for the lowest one) at 92 meV per atom. The magnetization comes out at 0.000 μB per atom.